Compound: Er3FeBi
Source: Alexandria
Functional: PBE
Structure: relaxed

abc: 15.342 4.028 10.379
angles: 90.00 125.20 90.00
Space group C2/m (No. 12)
Asymmetric unit:
Er  0.083  0.000  0.446 x4
Er  0.128  0.500  0.208 x4
Er  0.172  0.500  0.779 x4
Fe  0.237  0.500  0.543 x4
Bi  0.088  0.000  0.925 x4

- DFT formation energy (eV per atom) = -0.33
- energy above the lowest structure with this stoichiometry (kcal/mol of atoms) = 0.00
- crystal system = monoclinic